The following is a GGA-PBE calculation of an optimized crystal structure of Pr8PtS3I4, from Alexandria via LeMat-Bulk.

a b c (Å): 8.4483 8.4483 23.4534
angles (deg): 90.00 90.00 120.00
With the nearest neighbours (Å) after each atom.
Space group R-3m (No. 166, hexagonal axes)
Asymmetric unit:
Pr1 0.0000 0.0000 0.2287 [6 per cell]  3 S 2.84
Pr2 0.0042 0.5021 0.7693 [18 per cell]  2 S 2.85, 1 Pt 2.89
Pt1 0.0000 0.0000 0.5000 [3 per cell]  6 Pr 2.89
S1 0.0000 0.5000 0.5000 [9 per cell]  6 Pr 2.84-2.85
I1 0.0000 0.0000 0.0000 [3 per cell]  6 Pr 3.40
I2 0.0000 0.5000 0.0000 [9 per cell]  6 Pr 3.44-3.46

## Properties
Formation energy from raw total energies in eV/atom: -1.37
Final energy in hartree per atom: -0.1946
Volume in Å³ per cell: 1449.8
Spin magnetization in μB per formula unit: 0.00

The following is a GGA-PBE calculation of an optimized crystal structure of Pr8Pt3SI3, from Alexandria via LeMat-Bulk.

a b c (Å): 14.9494 8.6359 9.2258
angles (deg): 90.00 122.72 90.00
With the nearest neighbours (Å) after each atom.
Space group C2/m (No. 12)
Asymmetric unit:
Pr1 0.0191 0.2445 0.3016 [8 per cell]  2 Pt 2.90-2.91, 1 S 2.98
Pr2 0.2292 0.0000 0.6878 [4 per cell]  3 Pt 2.88-2.89
Pr3 0.2367 0.5000 0.6987 [4 per cell]  2 Pt 2.91, 1 S 2.98
Pt1 0.0000 0.0000 0.5000 [2 per cell]  6 Pr 2.88-2.91
Pt2 0.2500 0.2500 0.5000 [4 per cell]  6 Pr 2.89-2.91
S1 0.0000 0.5000 0.5000 [2 per cell]  6 Pr 2.98
I1 0.0000 0.5000 0.0000 [2 per cell]  6 Pr 3.44-3.48
I2 0.2500 0.2500 0.0000 [4 per cell]  6 Pr 3.44-3.48

## Properties
Formation energy from raw total energies in eV/atom: -1.06
Final energy in hartree per atom: -0.1984
Volume in Å³ per cell: 1002.1
Spin magnetization in μB per formula unit: 0.00

The following is a GGA-PBE calculation of an optimized crystal structure of Pr6Pt2SI3, from Alexandria via LeMat-Bulk.

a b c (Å): 7.5465 13.0120 8.2511
angles (deg): 90.00 107.58 90.00
With the nearest neighbours (Å) after each atom.
Space group C2/m (No. 12)
Asymmetric unit:
Pr1 0.2175 0.0000 0.1896 [4 per cell]  2 Pt 2.88, 1 S 3.00
Pr2 0.2361 0.3274 0.1898 [8 per cell]  2 Pt 2.88, 1 S 3.00
Pt1 0.0000 0.1669 0.0000 [4 per cell]  6 Pr 2.88
S1 0.0000 0.5000 0.0000 [2 per cell]  6 Pr 3.00
I1 0.0000 0.0000 0.5000 [2 per cell]  6 Pr 3.43-3.53
I2 0.0000 0.3369 0.5000 [4 per cell]  6 Pr 3.47-3.53

## Properties
Formation energy from raw total energies in eV/atom: -1.21
Final energy in hartree per atom: -0.1962
Volume in Å³ per cell: 772.4
Spin magnetization in μB per formula unit: 0.00

The following is a GGA-PBE calculation of an optimized crystal structure of Pr8PtSe3I4, from Alexandria via LeMat-Bulk.

a b c (Å): 8.6846 8.6846 23.3522
angles (deg): 90.00 90.00 120.00
With the nearest neighbours (Å) after each atom.
Space group R-3m (No. 166, hexagonal axes)
Asymmetric unit:
Pr1 0.0000 0.0000 0.2319 [6 per cell]  3 Se 2.93
Pr2 0.0108 0.5054 0.2324 [18 per cell]  1 Pt 2.87, 2 Se 2.98
Pt1 0.0000 0.0000 0.5000 [3 per cell]  6 Pr 2.87
Se1 0.0000 0.5000 0.5000 [9 per cell]  6 Pr 2.93-2.98
I1 0.0000 0.0000 0.0000 [3 per cell]  6 Pr 3.50
I2 0.0000 0.5000 0.0000 [9 per cell]  6 Pr 3.41-3.45

## Properties
Formation energy from raw total energies in eV/atom: -1.29
Final energy in hartree per atom: -0.1874
Volume in Å³ per cell: 1525.3
Spin magnetization in μB per formula unit: 0.00